{"formula": "Ho2Er6Fe", "functional": "PBE", "state": "relaxed", "sg": "P2/m (10)", "e_tot_ev_per_atom": -4.770, "lattice_angstrom": [[9.119, 0.000, 0.000], [0.000, 3.441, 0.000], [-4.553, 0.000, 8.415]], "species": ["Ho", "Ho", "Er", "Er", "Er", "Er", "Er", "Er", "Fe"], "fractional_positions": [[0.179, 0.000, 0.357], [0.821, 0.000, 0.643], [0.169, 0.500, 0.680], [0.223, 0.000, 0.000], [0.488, 0.500, 0.319], [0.512, 0.500, 0.681], [0.777, 0.000, 0.000], [0.831, 0.500, 0.320], [0.500, 0.500, 0.000]]}

***

{"formula": "HoErFe", "functional": "PBE", "state": "relaxed", "polymorph_energy_mev_per_atom": 23.6, "sg": "Cmce (64)", "e_tot_ev_per_atom": -5.825, "lattice_angstrom": [[3.377, -5.893, 0.000], [3.377, 5.893, 0.000], [0.000, 0.000, 7.281]], "species": ["Ho", "Ho", "Ho", "Ho", "Er", "Er", "Er", "Er", "Fe", "Fe", "Fe", "Fe"], "fractional_positions": [[0.197, 0.803, 0.887], [0.303, 0.697, 0.387], [0.697, 0.303, 0.613], [0.803, 0.197, 0.113], [0.205, 0.295, 0.750], [0.295, 0.205, 0.250], [0.705, 0.795, 0.750], [0.795, 0.705, 0.250], [0.093, 0.907, 0.544], [0.407, 0.593, 0.044], [0.593, 0.407, 0.956], [0.907, 0.093, 0.456]]}

***

{"formula": "HoEr3Fe", "functional": "PBE", "state": "relaxed", "polymorph_energy_mev_per_atom": 0.0, "sg": "P2_1/m (11)", "e_tot_ev_per_atom": -5.331, "lattice_angstrom": [[8.762, 0.000, 0.000], [0.000, 3.578, 0.000], [-2.968, 0.000, 8.595]], "species": ["Ho", "Ho", "Er", "Er", "Er", "Er", "Er", "Er", "Fe", "Fe"], "fractional_positions": [[0.137, 0.250, 0.438], [0.863, 0.750, 0.562], [0.164, 0.750, 0.128], [0.212, 0.250, 0.825], [0.488, 0.750, 0.696], [0.512, 0.250, 0.304], [0.788, 0.750, 0.175], [0.836, 0.250, 0.872], [0.442, 0.750, 0.034], [0.558, 0.250, 0.966]]}

***

{"formula": "HoEr3Fe8", "functional": "PBE", "state": "relaxed", "sg": "R3m (160)", "e_tot_ev_per_atom": -7.281, "lattice_angstrom": [[2.552, 1.473, 8.310], [-2.552, 1.473, 8.310], [0.000, -2.946, 8.310]], "species": ["Ho", "Er", "Er", "Er", "Fe", "Fe", "Fe", "Fe", "Fe", "Fe", "Fe", "Fe"], "fractional_positions": [[0.000, 0.000, 0.000], [0.125, 0.125, 0.125], [0.500, 0.500, 0.500], [0.625, 0.625, 0.625], [0.062, 0.062, 0.562], [0.062, 0.562, 0.062], [0.063, 0.563, 0.563], [0.312, 0.312, 0.312], [0.562, 0.062, 0.062], [0.563, 0.063, 0.563], [0.563, 0.563, 0.063], [0.813, 0.813, 0.813]]}

***

{"formula": "HoEr6Fe2", "functional": "PBE", "state": "relaxed", "sg": "Immm (71)", "e_tot_ev_per_atom": -5.404, "lattice_angstrom": [[-4.753, 4.887, 4.971], [4.753, -4.887, 4.971], [4.753, 4.887, -4.971]], "species": ["Ho", "Ho", "Er", "Er", "Er", "Er", "Er", "Er", "Er", "Er", "Er", "Er", "Er", "Er", "Fe", "Fe", "Fe", "Fe"], "fractional_positions": [[0.000, 0.000, 0.000], [0.500, 0.500, 0.000], [0.026, 0.242, 0.784], [0.187, 0.283, 0.470], [0.187, 0.717, 0.904], [0.322, 0.005, 0.683], [0.322, 0.639, 0.317], [0.458, 0.242, 0.216], [0.542, 0.758, 0.784], [0.678, 0.361, 0.683], [0.678, 0.995, 0.317], [0.813, 0.283, 0.096], [0.813, 0.717, 0.530], [0.974, 0.758, 0.216], [0.109, 0.609, 0.500], [0.306, 0.000, 0.306], [0.694, 0.000, 0.694], [0.891, 0.391, 0.500]]}

***

{"formula": "HoEr3Fe", "functional": "PBE", "state": "relaxed", "polymorph_energy_mev_per_atom": 87.8, "sg": "Pm-3m (221)", "e_tot_ev_per_atom": -5.243, "lattice_angstrom": [[5.211, 0.000, 0.000], [0.000, 5.211, 0.000], [0.000, 0.000, 5.211]], "species": ["Ho", "Er", "Er", "Er", "Fe"], "fractional_positions": [[0.000, 0.000, 0.000], [0.000, 0.500, 0.500], [0.500, 0.000, 0.500], [0.500, 0.500, 0.000], [0.500, 0.500, 0.500]]}

***

{"formula": "HoErMnFe", "functional": "PBE", "state": "relaxed", "sg": "F-43m (216)", "e_tot_ev_per_atom": -6.532, "lattice_angstrom": [[0.000, 3.438, 3.438], [3.438, 0.000, 3.438], [3.438, 3.438, 0.000]], "species": ["Ho", "Er", "Mn", "Fe"], "fractional_positions": [[0.000, 0.000, 0.000], [0.500, 0.500, 0.500], [0.250, 0.250, 0.250], [0.750, 0.750, 0.750]]}

***

{"formula": "HoErFeOs", "functional": "PBE", "state": "relaxed", "sg": "F-43m (216)", "e_tot_ev_per_atom": -7.217, "lattice_angstrom": [[0.000, 3.395, 3.395], [3.395, 0.000, 3.395], [3.395, 3.395, 0.000]], "species": ["Ho", "Er", "Fe", "Os"], "fractional_positions": [[0.000, 0.000, 0.000], [0.500, 0.500, 0.500], [0.250, 0.250, 0.250], [0.750, 0.750, 0.750]]}

***

| no. | energy relative to the elements (eV per formula unit) |
| --- | --- |
| 1 | 2.06 |
| 2 | 0.13 |
| 3 | 0.07 |
| 4 | -1.40 |
| 5 | 0.25 |
| 6 | 0.51 |
| 7 | 0.65 |
| 8 | -0.04 |